1.
AlFe2H, optimized geometry, DFT PBE; raw total energy = -5.87 eV per atom; theoretical density = 5.8 g/cm³; M_tot = 4.263 Bohr magnetons per cell; E above lowest polymorph = 0.266 eV/atom
1.0
2.547 0.000 0.000
0.000 2.547 0.000
0.000 0.000 6.182
H Al Fe
1 1 2
Direct
0.500 0.500 0.000
0.500 0.500 0.500
0.000 0.000 0.193
0.000 0.000 0.807

=====

2.
B2C, optimized geometry, DFT PBE; raw total energy = -7.04 eV per atom; theoretical density = 2.5 g/cm³; M_tot = 0.000 Bohr magnetons per cell; E above lowest polymorph = 0.300 eV/atom
1.0
2.749 0.000 0.000
0.000 4.758 0.310
0.000 0.405 6.942
C B
4 8
Direct
0.500 0.849 0.460
0.000 0.988 0.890
0.000 0.012 0.110
0.500 0.151 0.540
0.000 0.691 0.486
0.000 0.656 0.903
0.000 0.344 0.097
0.500 0.555 0.111
0.500 0.870 0.217
0.000 0.309 0.514
0.500 0.130 0.783
0.500 0.445 0.889

=====

3.
CsTcW2, optimized geometry, DFT PBE; raw total energy = -7.19 eV per atom; theoretical density = 8.4 g/cm³; M_tot = 0.001 Bohr magnetons per cell; E above lowest polymorph = 0.030 eV/atom
1.0
5.274 0.000 0.000
0.000 5.274 0.000
2.637 2.637 8.463
Tc Cs W
2 2 4
Direct
0.250 0.750 0.500
0.500 0.500 0.000
0.000 0.000 0.000
0.750 0.250 0.500
0.375 0.625 0.250
0.875 0.625 0.750
0.375 0.625 0.750
0.375 0.125 0.250

=====

4.
Ga2TcW2, optimized geometry, DFT PBE; raw total energy = -7.82 eV per atom; theoretical density = 12.0 g/cm³; M_tot = 1.364 Bohr magnetons per cell; E above lowest polymorph = 0.336 eV/atom
1.0
3.692 0.000 0.000
0.000 3.692 0.000
1.846 1.846 6.146
Tc Ga W
1 2 2
Direct
0.000 0.000 0.000
0.406 0.406 0.188
0.594 0.594 0.812
0.250 0.750 0.500
0.750 0.250 0.500

=====

5.
CePm2Hf, optimized geometry, DFT PBE; raw total energy = -5.95 eV per atom; theoretical density = 8.7 g/cm³; M_tot = 0.328 Bohr magnetons per cell; E above lowest polymorph = 0.192 eV/atom
1.0
3.338 0.000 0.000
1.669 2.891 0.000
1.669 0.964 12.076
Pm Hf Ce
2 1 1
Direct
0.086 0.086 0.742
0.914 0.914 0.258
0.000 0.000 0.000
0.500 0.500 0.500

=====

6.
CaPb3F8, optimized geometry, DFT PBE; raw total energy = -5.12 eV per atom; theoretical density = 6.7 g/cm³; M_tot = 0.000 Bohr magnetons per cell
1.0
-0.213 5.125 -2.867
1.490 -2.728 -4.987
-5.680 -0.908 -1.200
Pb F Ca
3 8 1
Direct
0.500 0.000 0.500
0.500 0.500 0.000
0.000 0.500 0.500
0.760 0.240 0.760
0.240 0.240 0.240
0.240 0.760 0.760
0.240 0.760 0.240
0.760 0.760 0.760
0.760 0.760 0.240
0.760 0.240 0.240
0.240 0.240 0.760
0.000 0.000 0.000